VASP calculation (PBE-GGA) on an optimized crystal structure of SrLiY2O.

Calculated values
The calculation puts the uncorrected formation energy at -0.978 eV/atom. Its symmetry is P4/mmm, No. 123. Its volume is 25.4 Å³ per atom. The total magnetization comes out at 0.000 μB/atom. The total DFT energy (no corrections) comes out at -5.27 eV/atom.

Cell and atoms, written as CIF:
```
data_SrLiY2O
_cell_length_a 4.739
_cell_length_b 4.739
_cell_length_c 5.649
_cell_angle_alpha 90.00
_cell_angle_beta 90.00
_cell_angle_gamma 90.00
_space_group_name_H-M_alt 'P 1'
_space_group_IT_number 1
_space_group_name_Hall 'P 1'
loop_
_atom_site_label
_atom_site_fract_x
_atom_site_fract_y
_atom_site_fract_z
_atom_site_occupancy
Sr1 0.000 0.000 0.000 1
Li1 0.500 0.500 0.000 1
Y1 0.000 0.500 0.500 1
Y2 0.500 0.000 0.500 1
O1 0.000 0.000 0.500 1
```